Entry 1:
# TaRe2Ag, single point on PBEsol structure, DFT meta-GGA SCAN
data_TaRe2Ag
_chemical_formula_sum 'Ta1 Re2 Ag1'
_symmetry_space_group_name_H-M 'P m m m'
_symmetry_Int_Tables_number 47
_cell_length_a 2.948
_cell_length_b 3.882
_cell_length_c 5.589
_cell_angle_alpha 90.00
_cell_angle_beta 90.00
_cell_angle_gamma 90.00
loop_
_symmetry_equiv_pos_as_xyz
'x,y,z'
'-x,-y,-z'
'-x,-y,z'
'x,y,-z'
'x,-y,-z'
'-x,y,z'
'-x,y,-z'
'x,-y,z'
loop_
_atom_site_label
_atom_site_fract_x
_atom_site_fract_y
_atom_site_fract_z
Ta1 0.000 0.000 0.000
Re1 0.500 0.500 0.229
Ag1 0.000 0.000 0.500
# ΔE to the lowest computed polymorph ... 0.060 eV per atom

---

Entry 2:
# BaZnRh2, single point on PBEsol structure, DFT meta-GGA SCAN
data_BaZnRh2
_chemical_formula_sum 'Ba1 Zn1 Rh2'
_symmetry_space_group_name_H-M 'P 4/m m m'
_symmetry_Int_Tables_number 123
_symmetry_space_group_name_Hall '-P 4 2'
_cell_length_a 3.238
_cell_length_b 3.238
_cell_length_c 6.972
_cell_angle_alpha 90.00
_cell_angle_beta 90.00
_cell_angle_gamma 90.00
loop_
_atom_site_label
_atom_site_fract_x
_atom_site_fract_y
_atom_site_fract_z
Ba1 0.000 0.000 0.000
Zn1 0.000 0.000 0.500
Rh1 0.500 0.500 0.313
# E ... -30.086 eV per atom